(1)
SmErTlCd | GGA-PBE | optimized geometry

Summary:
ΔE_f: -0.34 eV/atom

Lattice parameters (Å, degrees): 5.3627 5.3627 5.3627 60.00 60.00 60.00
With the nearest neighbours (Å) after each atom.
Fractional positions:
Tl  0.2500  0.2500  0.2500  4 Er 3.28, 4 Sm 3.28
Cd  0.7500  0.7500  0.7500  4 Sm 3.28, 4 Er 3.28
Sm  0.0000  0.0000  0.0000  4 Cd 3.28, 4 Tl 3.28
Er  0.5000  0.5000  0.5000  4 Tl 3.28, 4 Cd 3.28

=====

(2)
MgZrAlIr | GGA-PBE | optimized geometry

Summary:
ΔE_f: -0.64 eV/atom

Lattice parameters (Å, degrees): 4.5687 4.5687 4.5687 60.00 60.00 60.00
With the nearest neighbours (Å) after each atom.
Fractional positions:
Mg  0.7500  0.7500  0.7500  4 Zr 2.80, 4 Al 2.80
Ir  0.2500  0.2500  0.2500  4 Al 2.80, 4 Zr 2.80
Al  0.5000  0.5000  0.5000  4 Mg 2.80, 4 Ir 2.80
Zr  0.0000  0.0000  0.0000  4 Ir 2.80, 4 Mg 2.80

=====

(3)
NiHPt2 | GGA-PBE | optimized geometry

Summary:
Energy above the lowest structure with this stoichiometry: 0.0 meV/atom

Lattice parameters (Å, degrees): 2.7654 2.7745 8.3882 60.08 90.00 119.89
With the nearest neighbours (Å) after each atom.
Fractional positions:
Ni  0.4879  0.9759  0.3455  3 H 1.70
H  0.0722  0.1444  0.4280  3 Ni 1.70, 1 Pt 1.80
Pt  0.1311  0.2623  0.0365  3 Ni 2.66, 9 Pt 2.77-2.87
Pt  0.8087  0.6175  0.6900  1 H 1.80